Density functional theory data (GGA-PBE) for a relaxed PmTm3Au2 crystal.

SG: Pmc2_1
formation energy: -0.6393 eV/atom

Cell and atoms, written as POSCAR:
```
PmTm3Au2
1.0
4.9281 0.0000 0.0000
0.0000 8.8868 0.0000
0.0000 0.0000 7.1424
Pm Tm Au
2 6 4
Direct
0.0000 0.0746 0.0000
0.0000 0.9254 0.5000
0.0000 0.3311 0.6345
0.0000 0.6689 0.1345
0.5000 0.1726 0.3373
0.5000 0.4295 0.9717
0.5000 0.5705 0.4717
0.5000 0.8274 0.8373
0.0000 0.3549 0.2353
0.0000 0.6451 0.7353
0.5000 0.1567 0.7390
0.5000 0.8433 0.2390
```